A relaxed CaPmPrNd crystal. Source: Alexandria, functional GGA-PBE. Values from VASP.

```
&SYSTEM
  ibrav = 0, nat = 4, ntyp = 4
/
ATOMIC_SPECIES
Pr 140.91 Pr.upf
Ca 40.08 Ca.upf
Nd 144.24 Nd.upf
Pm 145.00 Pm.upf
CELL_PARAMETERS angstrom
-3.038 -2.019 4.647
2.813 -2.788 4.384
0.580 2.610 5.269
ATOMIC_POSITIONS angstrom
Pr 0.089 -0.549 3.575
Ca 0.177 -1.099 7.150
Nd 0.266 -1.648 10.724
Pm 0.000 0.000 0.000
```

For the formation energy, the calculation gives 0.1232 eV per atom. As for the energy above the most stable polymorph in this dataset: 0.37 eV/f.u.


A relaxed CaPmPrNd crystal. Source: Alexandria, functional GGA-PBE. Values from VASP.

```
&SYSTEM
  ibrav = 0, nat = 4, ntyp = 4
/
ATOMIC_SPECIES
Ca 40.08 Ca.upf
Pm 145.00 Pm.upf
Pr 140.91 Pr.upf
Nd 144.24 Nd.upf
CELL_PARAMETERS angstrom
-2.712 0.591 -2.468
2.976 -2.005 -0.956
-5.662 -10.204 3.777
ATOMIC_POSITIONS angstrom
Ca -4.630 -7.149 0.581
Pm -1.812 -2.070 -1.299
Pr -4.220 -10.692 2.075
Nd -2.341 -4.220 1.562
```

For the formation energy, the calculation gives 0.0312 eV per atom. As for the energy above the most stable polymorph in this dataset: 0.00 eV/f.u.


A relaxed CaPm2Pr6Nd crystal. Source: Alexandria, functional GGA-PBE. Values from VASP.

```
&SYSTEM
  ibrav = 0, nat = 20, ntyp = 4
/
ATOMIC_SPECIES
Ca 40.08 Ca.upf
Pm 145.00 Pm.upf
Pr 140.91 Pr.upf
Nd 144.24 Nd.upf
CELL_PARAMETERS angstrom
9.183 -1.654 -1.717
1.153 8.899 -1.916
1.153 -2.245 8.822
ATOMIC_POSITIONS angstrom
Ca 3.449 7.785 -1.670
Ca 8.040 -2.784 6.859
Pm 5.705 4.808 3.895
Pm 1.193 2.114 1.099
Pm 5.784 0.193 1.295
Pm 10.296 2.887 4.090
Pr 1.736 -1.158 6.527
Pr 5.161 -0.738 6.963
Pr 9.753 6.158 -1.338
Pr 6.328 5.738 -1.773
Pr 3.564 -1.375 3.566
Pr 3.334 2.213 7.289
Pr 7.925 6.375 1.623
Pr 8.155 2.788 -2.100
Pr 2.205 5.279 2.300
Pr 4.692 3.724 0.687
Pr 9.284 -0.278 2.889
Pr 6.796 1.276 4.502
Nd 3.449 2.076 3.831
Nd 8.040 2.924 1.358
```

For the formation energy, the calculation gives 0.1344 eV per atom.


A relaxed CaPmPr2Nd5 crystal. Source: Alexandria, functional GGA-PBE. Values from VASP.

```
&SYSTEM
  ibrav = 0, nat = 18, ntyp = 4
/
ATOMIC_SPECIES
Ca 40.08 Ca.upf
Pm 145.00 Pm.upf
Pr 140.91 Pr.upf
Nd 144.24 Nd.upf
CELL_PARAMETERS angstrom
-4.063 2.183 3.122
3.808 -8.985 6.272
7.013 6.278 4.736
ATOMIC_POSITIONS angstrom
Ca -1.615 -0.457 3.187
Ca 4.979 -3.103 8.652
Pm 2.519 -0.097 8.316
Pm 0.849 -3.460 3.526
Pr 4.753 -0.106 11.230
Pr 5.624 2.819 5.349
Pr 2.331 -0.124 3.120
Pr 1.032 -3.432 8.713
Nd 1.421 -6.009 6.052
Nd 4.466 2.716 8.883
Nd 3.285 5.849 5.153
Nd 5.916 0.002 7.699
Nd 3.570 3.162 2.435
Nd 1.944 2.449 5.787
Nd 3.197 -2.427 5.859
Nd 3.585 -6.271 9.053
Nd 0.171 -1.125 5.979
Nd -0.205 -6.722 9.404
```

For the formation energy, the calculation gives 0.1496 eV per atom.


A relaxed CaPmPr6Nd2 crystal. Source: Alexandria, functional GGA-PBE. Values from VASP.

```
&SYSTEM
  ibrav = 0, nat = 20, ntyp = 4
/
ATOMIC_SPECIES
Ca 40.08 Ca.upf
Pm 145.00 Pm.upf
Pr 140.91 Pr.upf
Nd 144.24 Nd.upf
CELL_PARAMETERS angstrom
-5.289 -0.467 -8.577
6.392 -5.941 -2.775
-6.861 -3.052 5.241
ATOMIC_POSITIONS angstrom
Ca -2.851 -4.331 -0.129
Ca -2.908 -5.129 -5.982
Pm 4.771 -5.993 -4.738
Pm -10.529 -3.467 -1.373
Pr -4.744 -3.044 3.217
Pr -6.897 -4.324 0.118
Pr -1.015 -6.416 -9.328
Pr 1.138 -5.136 -6.229
Pr 1.587 -7.226 -3.226
Pr 2.535 -3.578 -2.973
Pr -7.346 -2.233 -2.885
Pr -8.294 -5.882 -3.138
Pr 0.484 -5.815 -0.408
Pr -0.769 -4.028 -3.125
Pr -6.243 -3.644 -5.703
Pr -4.989 -5.432 -2.986
Nd -2.116 -7.105 -2.468
Nd 0.312 -2.407 -0.146
Nd -3.642 -2.355 -3.643
Nd -6.071 -7.053 -5.965
```

For the formation energy, the calculation gives 0.1181 eV per atom.


A relaxed CaPm3Pr2Nd6 crystal. Source: Alexandria, functional GGA-PBE. Values from VASP.

```
&SYSTEM
  ibrav = 0, nat = 12, ntyp = 4
/
ATOMIC_SPECIES
Ca 40.08 Ca.upf
Pm 145.00 Pm.upf
Pr 140.91 Pr.upf
Nd 144.24 Nd.upf
CELL_PARAMETERS angstrom
6.401 -0.003 0.007
-3.202 5.543 0.007
-1.082 -1.874 12.024
ATOMIC_POSITIONS angstrom
Ca 0.000 0.000 0.000
Pm -2.149 3.686 6.019
Pm 4.266 -0.019 6.019
Pm 1.059 1.833 6.019
Pr -0.006 3.697 0.007
Pr 3.206 1.843 0.007
Nd 3.202 1.795 8.985
Nd 2.116 3.664 3.068
Nd -1.085 1.872 3.053
Nd -0.046 3.671 8.985
Nd 0.002 0.003 8.970
Nd 2.163 -0.004 3.053
```

For the formation energy, the calculation gives 0.0260 eV per atom.


A relaxed CaPm2Pr3Nd6 crystal. Source: Alexandria, functional GGA-PBE. Values from VASP.

```
&SYSTEM
  ibrav = 0, nat = 12, ntyp = 4
/
ATOMIC_SPECIES
Ca 40.08 Ca.upf
Pm 145.00 Pm.upf
Pr 140.91 Pr.upf
Nd 144.24 Nd.upf
CELL_PARAMETERS angstrom
6.417 -0.004 0.008
-3.210 5.556 0.008
-1.087 -1.881 12.034
ATOMIC_POSITIONS angstrom
Ca 0.000 0.000 0.000
Pm -0.005 3.706 0.008
Pm 3.212 1.847 0.008
Pr -2.154 3.692 6.026
Pr 4.274 -0.021 6.026
Pr 1.060 1.836 6.026
Nd 3.212 1.789 9.032
Nd 2.117 3.666 3.033
Nd -1.091 1.882 3.019
Nd -0.055 3.676 9.032
Nd 0.003 0.006 9.018
Nd 2.176 -0.005 3.019
```

For the formation energy, the calculation gives 0.0308 eV per atom.


A relaxed CaPm2PrNd6 crystal. Source: Alexandria, functional GGA-PBE. Values from VASP.

```
&SYSTEM
  ibrav = 0, nat = 20, ntyp = 4
/
ATOMIC_SPECIES
Ca 40.08 Ca.upf
Pm 145.00 Pm.upf
Pr 140.91 Pr.upf
Nd 144.24 Nd.upf
CELL_PARAMETERS angstrom
9.496 -2.186 -2.269
0.817 8.821 -2.148
0.817 -2.473 8.736
ATOMIC_POSITIONS angstrom
Ca 3.192 1.528 3.786
Ca 7.940 2.634 0.533
Pm 5.563 4.331 3.350
Pm 0.820 2.068 1.002
Pm 5.568 -0.169 0.969
Pm 10.311 2.094 3.318
Pr 3.192 8.006 -2.455
Pr 7.940 -3.844 6.775
Nd 1.209 -0.960 6.262
Nd 5.175 -1.038 6.181
Nd 9.923 5.122 -1.943
Nd 5.957 5.201 -1.861
Nd 4.208 6.804 0.933
Nd 2.175 4.575 -1.380
Nd 6.923 -2.642 3.386
Nd 8.957 -0.413 5.700
Nd 2.138 4.782 2.537
Nd 4.245 2.897 0.581
Nd 8.993 -0.620 1.782
Nd 6.887 1.265 3.738
```

For the formation energy, the calculation gives 0.1223 eV per atom.


A relaxed CaPm6Pr2Nd3 crystal. Source: Alexandria, functional GGA-PBE. Values from VASP.

```
&SYSTEM
  ibrav = 0, nat = 12, ntyp = 4
/
ATOMIC_SPECIES
Ca 40.08 Ca.upf
Pm 145.00 Pm.upf
Pr 140.91 Pr.upf
Nd 144.24 Nd.upf
CELL_PARAMETERS angstrom
-3.913 3.054 -4.018
4.241 -4.210 -2.251
-8.208 -8.410 3.299
ATOMIC_POSITIONS angstrom
Ca 0.000 0.000 0.000
Pm -7.267 -5.920 -2.511
Pm -1.834 -2.994 -3.846
Pm -0.613 -3.647 -0.458
Pm -4.510 -8.376 -1.914
Pm -6.046 -6.573 0.877
Pm -3.370 -1.191 -1.056
Pr 1.526 -1.792 -2.839
Pr -1.198 0.635 -3.429
Nd -1.216 -7.210 -0.894
Nd -6.664 -2.357 -2.075
Nd -3.940 -4.784 -1.485
```

For the formation energy, the calculation gives 0.0301 eV per atom.


A relaxed CaPm4Nd3S8 crystal. Source: Alexandria, functional GGA-PBE. Values from VASP.

```
&SYSTEM
  ibrav = 0, nat = 16, ntyp = 4
/
ATOMIC_SPECIES
Ca 40.08 Ca.upf
Pm 145.00 Pm.upf
Nd 144.24 Nd.upf
S 32.06 S.upf
CELL_PARAMETERS angstrom
8.097 0.000 0.000
0.000 8.091 -0.010
-4.048 -4.044 5.727
ATOMIC_POSITIONS angstrom
Ca 0.000 4.046 -0.005
Pm 4.048 0.000 0.000
Pm 2.024 -2.022 2.864
Pm 0.000 0.000 0.000
Pm -2.024 -2.022 2.864
Nd 4.048 4.046 -0.005
Nd 2.024 2.023 2.859
Nd -2.024 2.023 2.859
S 1.995 6.057 0.005
S 0.000 4.064 2.828
S 0.000 -0.017 2.849
S 6.102 6.057 0.005
S -2.053 -2.010 5.713
S 4.048 4.064 2.869
S 4.048 -0.017 2.890
S 2.053 -2.010 5.713
```

The uncorrected formation energy is -46.864 kcal/mol of atoms.


A relaxed CaPm3Nd4S8 crystal. Source: Alexandria, functional GGA-PBE. Values from VASP.

```
&SYSTEM
  ibrav = 0, nat = 16, ntyp = 4
/
ATOMIC_SPECIES
Ca 40.08 Ca.upf
Pm 145.00 Pm.upf
Nd 144.24 Nd.upf
S 32.06 S.upf
CELL_PARAMETERS angstrom
8.096 0.000 0.000
0.000 8.106 0.001
-4.048 -4.044 5.727
ATOMIC_POSITIONS angstrom
Ca 0.000 4.053 0.000
Pm 4.048 4.053 0.000
Pm 2.024 2.031 2.864
Pm -2.024 2.031 2.864
Nd 4.048 0.000 0.000
Nd 2.024 -2.022 2.864
Nd 0.000 0.000 0.000
Nd -2.024 -2.022 2.864
S -2.045 1.997 5.716
S 0.000 4.040 2.823
S 0.000 0.023 2.877
S 2.045 1.997 5.716
S 2.003 2.065 0.013
S 4.048 4.040 2.852
S 4.048 0.022 2.906
S 6.093 2.065 0.013
```

The uncorrected formation energy is -46.857 kcal/mol of atoms.


A relaxed CaPm2Nd3S6 crystal. Source: Alexandria, functional GGA-PBE. Values from VASP.

```
&SYSTEM
  ibrav = 0, nat = 12, ntyp = 4
/
ATOMIC_SPECIES
Ca 40.08 Ca.upf
Pm 145.00 Pm.upf
Nd 144.24 Nd.upf
S 32.06 S.upf
CELL_PARAMETERS angstrom
7.010 -0.003 0.004
-3.505 6.070 0.004
-1.165 -2.017 6.617
ATOMIC_POSITIONS angstrom
Ca 0.000 0.000 0.000
Pm -0.002 4.047 0.004
Pm 3.506 2.021 0.004
Nd -2.333 4.048 3.312
Nd 4.672 0.002 3.312
Nd 1.169 2.025 3.312
S 3.492 2.053 5.003
S 2.354 4.076 1.616
S -1.153 1.997 1.622
S 0.033 4.051 5.003
S -0.015 -0.026 5.009
S 2.306 -0.001 1.622
```

The uncorrected formation energy is -47.017 kcal/mol of atoms.


Number 1: magnetic moment 0.00 Bohr magnetons per cell. Number 2: magnetic moment 0.00 Bohr magnetons per cell. Number 3: magnetic moment 0.00 Bohr magnetons per cell. Number 4: magnetic moment 0.00 Bohr magnetons per cell. Number 5: magnetic moment 0.00 Bohr magnetons per cell. Number 6: magnetic moment 0.00 Bohr magnetons per cell. Number 7: magnetic moment 0.00 Bohr magnetons per cell. Number 8: magnetic moment 0.00 Bohr magnetons per cell. Number 9: magnetic moment 0.00 Bohr magnetons per cell. Number 10: magnetic moment 0.00 Bohr magnetons per cell. Number 11: magnetic moment 0.00 Bohr magnetons per cell. Number 12: magnetic moment 0.00 Bohr magnetons per cell.